# 1
8
Lattice="3.6773 -3.6552 0.0000 3.6773 3.6552 0.0000 0.0000 0.0000 5.3391" Properties=species:S:1:pos:R:3 comment="Si3Se (PBE-GGA, relaxed)" raw_formation_energy_ev_per_atom=0.297 e_tot_ev_per_cell=-37.133 mass_density_g_cm3=3.78 pbc="T T T"
Si 1.8974 1.8672 1.3348
Si 5.4572 -1.8672 4.0043
Si 3.6773 3.5841 4.0043
Si 1.8974 -1.8672 4.0043
Si 3.6773 -3.5841 1.3348
Si 5.4572 1.8672 1.3348
Se 3.6773 -0.1816 4.0043
Se 3.6773 0.1816 1.3348

# 2
9
Lattice="3.6902 -0.0100 -0.0096 1.8200 9.2139 2.2280 1.8200 2.6297 9.1073" Properties=species:S:1:pos:R:3 comment="BaTl6In2 (PBE-GGA, relaxed)" e_form_ev_per_fu=-0.542 e_tot_ev_per_cell=-22.139 mass_density_g_cm3=9.18 pbc="T T T"
Tl 5.4802 10.8684 8.0886
Tl 3.6652 4.8258 6.8028
Tl 1.8502 3.2764 0.8224
Tl 3.6652 7.0078 4.5230
Tl 1.8502 0.9652 3.2372
Ba 3.6902 -0.0100 -0.0096
In 5.5661 7.6323 7.3048
In 1.7642 4.2012 4.0210
Tl 5.4802 8.5572 10.5035

# 3
3
Lattice="7.5936 0.0039 -0.0041 6.8671 3.2411 -0.0050 0.7266 0.1635 3.2331" Properties=species:S:1:pos:R:3 comment="SrZrAl (PBE-GGA, relaxed)" e_form_ev_per_fu=0.190 e_tot_ev_per_cell=-13.782 mass_density_g_cm3=4.30 pbc="T T T"
Sr 5.4591 1.2253 2.1159
Zr 9.4988 2.1317 1.1622
Al 0.9559 0.2149 3.1789

# 4
4
Lattice="-4.3454 -0.0445 -1.2237 -1.1153 -0.4592 -4.3505 -1.8971 -3.8308 -1.4518" Properties=species:S:1:pos:R:3 comment="HfNbFeMo (PBE-GGA, relaxed)" e_form_ev_per_fu=-0.464 e_tot_ev_per_cell=-39.781 mass_density_g_cm3=10.80 pbc="T T T"
Fe -5.5184 -3.2509 -5.2696
Hf -3.6790 -2.1673 -3.5130
Nb 0.0000 0.0000 0.0000
Mo -1.8395 -1.0836 -1.7565

# 5
5
Lattice="-4.0006 2.9779 -0.2774 -2.2709 -3.3260 -2.9546 -2.5276 -2.9096 5.2181" Properties=species:S:1:pos:R:3 comment="BaLi2HgAs (PBE-GGA, relaxed)" e_form_ev_per_fu=-2.544 e_tot_ev_per_cell=-13.245 mass_density_g_cm3=4.38 pbc="T T T"
As 0.0000 0.0000 0.0000
Li -1.1355 -1.6630 -1.4773
Li -2.0003 1.4889 -0.1387
Hg -4.3996 -1.6289 0.9930
Ba -1.2638 -1.4548 2.6090

# 6
4
Lattice="-1.2560 1.3917 -2.0980 -0.6728 -2.4449 -1.2190 -6.3377 -0.1110 3.7206" Properties=species:S:1:pos:R:3 comment="Ta2BeSi (PBE-GGA, relaxed)" raw_formation_energy_ev_per_atom=-0.071 e_tot_ev_per_cell=-33.140 mass_density_g_cm3=11.39 pbc="T T T"
Ta -0.1058 -0.0019 0.0621
Si -5.7177 -0.6099 1.1319
Ta -3.0630 -0.0536 1.7982
Be -2.5488 -0.5544 -0.7283

# 7
5
Lattice="-2.8331 -0.2907 -3.2972 3.5224 -0.9694 -2.9411 -0.4992 -4.2528 0.8039" Properties=species:S:1:pos:R:3 comment="ScMn2MoW (PBE-GGA, relaxed)" e_form_ev_per_fu=8.365 e_tot_ev_per_cell=-40.090 mass_density_g_cm3=8.11 pbc="T T T"
Mn -0.2496 -2.1264 0.4019
W 0.0950 -2.7564 -2.7172
Mo 0.0000 0.0000 0.0000
Sc 1.7612 -0.4847 -1.4706
Mn -1.4165 -0.1453 -1.6486

# 8
5
Lattice="-0.1065 5.0037 2.7365 1.7605 -2.1434 3.9879 5.3153 1.0792 -1.7664" Properties=species:S:1:pos:R:3 comment="In2SiTeRh (PBE-GGA, relaxed)" raw_formation_energy_ev_per_atom=0.998 e_tot_ev_per_cell=-16.401 mass_density_g_cm3=5.13 pbc="T T T"
Te 0.0000 0.0000 0.0000
In 2.6576 0.5396 -0.8832
Si 3.4846 1.9698 2.4790
In -0.0533 2.5019 1.3683
Rh 0.8803 -1.0717 1.9939

# 9
5
Lattice="5.4152 0.0000 0.0000 0.0000 4.5071 0.0000 0.0000 0.0000 5.4152" Properties=species:S:1:pos:R:3 comment="TiMnBi2As (PBE-GGA, relaxed)" e_form_ev_per_fu=3.685 e_tot_ev_per_cell=-25.791 mass_density_g_cm3=7.48 pbc="T T T"
Bi 0.0000 0.0000 2.7076
Ti 0.0000 0.0000 0.0000
Mn 0.0000 2.2535 0.0000
Bi 2.7076 0.0000 0.0000
As 2.7076 2.2535 2.7076

# 10
10
Lattice="-3.5933 -1.9567 -0.1432 2.8756 -5.5008 3.0043 0.0551 3.6912 6.7058" Properties=species:S:1:pos:R:3 comment="Ce2P2O (PBE-GGA, relaxed)" raw_formation_energy_ev_per_atom=-1.897 e_tot_ev_per_cell=-74.257 mass_density_g_cm3=5.71 pbc="T T T"
Ce 0.6232 -5.6545 3.1024
Ce -0.4934 0.3726 7.2924
O -1.1791 1.7644 5.4807
P -1.3670 -2.3424 7.7880
Ce -2.8474 0.6281 4.3472
P 2.1541 -4.3417 5.2728
O -0.5138 -3.5597 3.0098
P -1.5766 -1.7966 5.5896
P 0.3037 -0.6572 1.3602
Ce 0.9184 -1.9717 3.8966

# 11
4
Lattice="2.7118 0.0000 0.0000 0.0000 4.6382 0.0072 0.0000 3.0986 4.4248" Properties=species:S:1:pos:R:3 comment="MnTc2Os (PBE-GGA, relaxed)" e_form_ev_per_fu=0.368 e_tot_ev_per_cell=-40.763 mass_density_g_cm3=13.18 pbc="T T T"
Os 0.0000 1.5493 2.2124
Tc 0.0000 0.0000 0.0000
Tc 1.3559 2.3191 0.0036
Mn 1.3559 3.8684 2.2160

# 12
5
Lattice="5.1076 0.0000 0.0000 0.0000 4.4737 0.0000 0.0000 0.0000 5.1076" Properties=species:S:1:pos:R:3 comment="Sc2GaIrSe (PBE-GGA, relaxed)" raw_formation_energy_ev_per_atom=0.088 e_tot_ev_per_cell=-27.596 mass_density_g_cm3=6.13 pbc="T T T"
Se 2.5538 2.2369 2.5538
Ir 0.0000 2.2369 0.0000
Ga 0.0000 0.0000 0.0000
Sc 2.5538 0.0000 0.0000
Sc 0.0000 0.0000 2.5538

# 13
11
Lattice="3.9009 0.0000 0.0000 0.0000 8.1089 0.0000 -1.9505 -4.0544 8.6320" Properties=species:S:1:pos:R:3 comment="Ce4Zn4Hg3 (PBE-GGA, relaxed)" e_form_ev_per_fu=-0.944 e_tot_ev_per_cell=-30.680 mass_density_g_cm3=8.66 pbc="T T T"
Hg 1.9505 4.0544 6.3145
Zn 1.9505 6.2899 3.2229
Zn 0.0000 -2.2355 5.4091
Ce 1.9505 1.4204 0.0000
Hg 0.0000 0.0000 2.3174
Ce 0.0000 4.0544 3.0056
Ce 1.9505 0.0000 5.6264
Ce 1.9505 6.6885 0.0000
Zn 0.0000 2.2355 5.4091
Zn 1.9505 1.8190 3.2229
Hg 0.0000 4.0544 0.0000

| no. | calculated volume (Å³/cell) |
| --- | --- |
| 1 | 143.53 |
| 2 | 288.28 |
| 3 | 79.50 |
| 4 | 65.07 |
| 5 | 161.85 |
| 6 | 58.18 |
| 7 | 89.03 |
| 8 | 158.05 |
| 9 | 132.17 |
| 10 | 208.24 |
| 11 | 55.59 |
| 12 | 116.71 |
| 13 | 273.05 |